[1]
## YBiPt2 (PBE)

Data for YBiPt2 after structural relaxation.

abc: 3.668 3.668 6.435
angles: 90.00 90.00 90.00
Element x y z (fractional)
Y1 0.000 0.000 0.000
Bi1 0.000 0.000 0.500
Pt1 0.500 0.500 0.227
Pt2 0.500 0.500 0.773

Properties
- Symmetry: P4/mmm
- Final energy: -25.35 eV per cell
- Energy of formation from the pure elements: -0.731 eV/atom

=====

[2]
## Ta6Nb12Ir (PBE)

Data for Ta6Nb12Ir after structural relaxation.

abc: 7.097 7.097 7.097
angles: 88.98 88.98 88.98
Element x y z (fractional)
Ta1 0.232 0.386 0.758
Ta2 0.242 0.768 0.614
Ta3 0.386 0.758 0.232
Ta4 0.614 0.242 0.768
Ta5 0.758 0.232 0.386
Ta6 0.768 0.614 0.242
Nb1 0.021 0.922 0.312
Nb2 0.078 0.688 0.979
Nb3 0.119 0.438 0.355
Nb4 0.312 0.021 0.922
Nb5 0.355 0.119 0.438
Nb6 0.438 0.355 0.119
Nb7 0.562 0.645 0.881
Nb8 0.645 0.881 0.562
Nb9 0.688 0.979 0.078
Nb10 0.881 0.562 0.645
Nb11 0.922 0.312 0.021
Nb12 0.979 0.078 0.688
Ir1 0.500 0.500 0.500

Properties
- Symmetry: R-3
- Final energy: -199.65 eV per cell
- Energy of formation from the pure elements: 0.061 eV/atom

=====

[3]
## Pr6Ho5Th2 (PBE)

Data for Pr6Ho5Th2 after structural relaxation.

abc: 11.795 20.657 3.659
angles: 90.00 90.00 90.00
Element x y z (fractional)
Pr1 0.069 0.072 0.000
Pr2 0.077 0.362 0.000
Pr3 0.178 0.629 0.500
Pr4 0.322 0.129 0.500
Pr5 0.423 0.862 0.000
Pr6 0.431 0.572 0.000
Pr7 0.569 0.428 0.000
Pr8 0.577 0.138 0.000
Pr9 0.678 0.871 0.500
Pr10 0.822 0.371 0.500
Pr11 0.923 0.638 0.000
Pr12 0.931 0.928 0.000
Ho1 0.000 0.500 0.500
Ho2 0.085 0.219 0.500
Ho3 0.193 0.932 0.500
Ho4 0.307 0.432 0.500
Ho5 0.415 0.719 0.500
Ho6 0.500 0.000 0.500
Ho7 0.585 0.281 0.500
Ho8 0.693 0.568 0.500
Ho9 0.807 0.068 0.500
Ho10 0.915 0.781 0.500
Th1 0.174 0.778 0.000
Th2 0.326 0.278 0.000
Th3 0.674 0.722 0.000
Th4 0.826 0.222 0.000

Properties
- Symmetry: Pbam
- Final energy: -129.48 eV per cell
- Energy of formation from the pure elements: 0.128 eV/atom

=====

[4]
## CuPdAu6 (PBE)

Data for CuPdAu6 after structural relaxation.

abc: 4.088 4.088 8.154
angles: 90.00 90.00 90.00
Element x y z (fractional)
Cu1 0.000 0.000 0.000
Pd1 0.000 0.000 0.500
Au1 0.000 0.500 0.245
Au2 0.000 0.500 0.755
Au3 0.500 0.000 0.245
Au4 0.500 0.000 0.755
Au5 0.500 0.500 0.000
Au6 0.500 0.500 0.500

Properties
- Symmetry: P4/mmm
- Final energy: -29.29 eV per cell
- Energy of formation from the pure elements: -0.042 eV/atom

=====

[5]
## NiPAu4 (PBE)

Data for NiPAu4 after structural relaxation.

abc: 5.436 5.436 5.436
angles: 60.00 60.00 60.00
Element x y z (fractional)
Ni1 0.000 0.000 0.000
P1 0.750 0.750 0.750
Au1 0.375 0.375 0.375
Au2 0.375 0.375 0.876
Au3 0.375 0.876 0.375
Au4 0.876 0.375 0.375

Properties
- Symmetry: F-43m
- Final energy: -20.55 eV per cell
- Energy of formation from the pure elements: 0.626 eV/atom

=====

[6]
## PrTh2C (PBE)

Data for PrTh2C after structural relaxation.

abc: 10.169 10.169 10.169
angles: 20.47 20.47 20.47
Element x y z (fractional)
Pr1 0.000 0.000 0.000
Th1 0.118 0.118 0.118
Th2 0.882 0.882 0.882
C1 0.500 0.500 0.500

Properties
- Symmetry: R-3m
- Final energy: -29.03 eV per cell
- Energy of formation from the pure elements: -0.047 eV/atom

=====

Number 1: D(E_F) 0.801 states/eV per atom. Number 2: D(E_F) 0.950 states/eV per atom. Number 3: D(E_F) 1.324 states/eV per atom. Number 4: D(E_F) 0.313 states/eV per atom. Number 5: D(E_F) 1.196 states/eV per atom. Number 6: D(E_F) 1.083 states/eV per atom.